Compound: RbZnFePb2
Source: Alexandria via LeMat-Bulk
Functional: PBE
Structure: optimized geometry

Computed properties:
- Size of the total moment: 2.50 μB per cell
- Formation energy: 8.70 eV/f.u.
- E: -1.884 eV per atom

a = 6.2488 Å, b = 6.2488 Å, c = 5.0440 Å
α = 90.00°, β = 90.00°, γ = 90.00°
Space group P4/mmm (No. 123)
Inequivalent atoms, fractional coordinates:
Rb (0.0000, 0.0000, 0.0000) [1 per cell]
Zn (0.5000, 0.5000, 0.5000) [1 per cell]
Fe (0.0000, 0.0000, 0.5000) [1 per cell]
Pb (0.0000, 0.5000, 0.0000) [2 per cell]